No. 1
# Pm2MgGa3Ni4 PBE optimized geometry
# - Formation energy: -479.9 meV per atom
# - Magnetic moment: 0.00 μB/f.u.
data_Pm2MgGa3Ni4
_cell_length_a 4.108
_cell_length_b 4.108
_cell_length_c 10.335
_cell_angle_alpha 90.00
_cell_angle_beta 90.00
_cell_angle_gamma 90.00
_space_group_name_H-M_alt 'P -4 m 2'
_space_group_IT_number 115
_space_group_name_Hall 'P -4 -2'
loop_
_atom_site_label
_atom_site_type_symbol
_atom_site_fract_x
_atom_site_fract_y
_atom_site_fract_z
Pm1 Pm 0.000 0.500 0.238
Mg1 Mg 0.000 0.000 0.500
Ga1 Ga 0.000 0.500 0.879
Ga2 Ga 0.500 0.500 0.500
Ni1 Ni 0.000 0.000 0.000
Ni2 Ni 0.000 0.500 0.645
Ni3 Ni 0.500 0.500 0.000

---

No. 2
# InRe2Sb PBE optimized geometry
# - E_tot: -7.4697 eV/atom
# - Magnetic moment: 0.00 μB/f.u.
data_InRe2Sb
_cell_length_a 2.9779
_cell_length_b 2.9779
_cell_length_c 31.7466
_cell_angle_alpha 90.00
_cell_angle_beta 90.00
_cell_angle_gamma 120.00
_space_group_name_H-M_alt 'R 3 m'
_space_group_IT_number 160
_space_group_name_Hall 'R 3 -2"'
loop_
_atom_site_label
_atom_site_type_symbol
_atom_site_fract_x
_atom_site_fract_y
_atom_site_fract_z
In1 In 0.0000 0.0000 0.0000
Re1 Re 0.0000 0.0000 0.2554
Re2 Re 0.0000 0.0000 0.5242
Sb1 Sb 0.0000 0.0000 0.7859

---

No. 3
# Sm10HoTm4 PBE optimized geometry
# - Formation energy: 699.7 meV per atom
# - Magnetic moment: 0.00 μB/f.u.
data_Sm10HoTm4
_cell_length_a 12.213
_cell_length_b 12.213
_cell_length_c 7.706
_cell_angle_alpha 90.00
_cell_angle_beta 90.00
_cell_angle_gamma 90.00
_space_group_name_H-M_alt 'I 4/m'
_space_group_IT_number 87
_space_group_name_Hall '-I 4'
loop_
_atom_site_label
_atom_site_type_symbol
_atom_site_fract_x
_atom_site_fract_y
_atom_site_fract_z
Sm1 Sm 0.000 0.500 0.250
Sm2 Sm 0.100 0.799 0.250
Ho1 Ho 0.000 0.000 0.000
Tm1 Tm 0.100 0.300 0.500

---

No. 4
# Ac2DyCd PBE optimized geometry
# - Formation energy: -19.3 meV per atom
# - Magnetic moment: 0.00 μB/f.u.
data_Ac2DyCd
_cell_length_a 8.287
_cell_length_b 8.287
_cell_length_c 8.287
_cell_angle_alpha 90.00
_cell_angle_beta 90.00
_cell_angle_gamma 90.00
_space_group_name_H-M_alt 'F m -3 m'
_space_group_IT_number 225
_space_group_name_Hall '-F 4 2 3'
loop_
_atom_site_label
_atom_site_type_symbol
_atom_site_fract_x
_atom_site_fract_y
_atom_site_fract_z
Ac1 Ac 0.250 0.250 0.250
Dy1 Dy 0.000 0.000 0.000
Cd1 Cd 0.000 0.000 0.500

---

No. 5
# Cs2K6Na9 PBE optimized geometry
# - Formation energy: 90.3 meV per atom
# - Magnetic moment: 0.00 μB/f.u.
data_Cs2K6Na9
_cell_length_a 7.8294
_cell_length_b 7.8294
_cell_length_c 20.7880
_cell_angle_alpha 90.00
_cell_angle_beta 90.00
_cell_angle_gamma 120.00
_space_group_name_H-M_alt 'P 6/m m m'
_space_group_IT_number 191
_space_group_name_Hall '-P 6 2'
loop_
_atom_site_label
_atom_site_type_symbol
_atom_site_fract_x
_atom_site_fract_y
_atom_site_fract_z
Cs1 Cs 0.0000 0.0000 0.2278
K1 K 0.3333 0.6667 0.1642
K2 K 0.3333 0.6667 0.5000
Na1 Na 0.0000 0.5000 0.0000
Na2 Na 0.0000 0.5000 0.3330

---

No. 6
# Pr6Os2PtCl3 PBE optimized geometry
# - E_tot: -6.2021 eV/atom
# - Magnetic moment: 0.00 μB/f.u.
data_Pr6Os2PtCl3
_cell_length_a 7.197
_cell_length_b 12.477
_cell_length_c 7.989
_cell_angle_alpha 90.00
_cell_angle_beta 107.41
_cell_angle_gamma 90.00
_space_group_name_H-M_alt 'C 1 2/m 1'
_space_group_IT_number 12
_space_group_name_Hall '-C 2y'
loop_
_atom_site_label
_atom_site_type_symbol
_atom_site_fract_x
_atom_site_fract_y
_atom_site_fract_z
Pr1 Pr 0.222 0.000 0.206
Pr2 Pr 0.242 0.327 0.206
Os1 Os 0.000 0.166 0.000
Pt1 Pt 0.000 0.500 0.000
Cl1 Cl 0.000 0.000 0.500
Cl2 Cl 0.000 0.328 0.500

---

No. 7
# Mo2Ir2Rh5 PBE optimized geometry
# - Formation energy: -139.9 meV per atom
# - Magnetic moment: 0.00 μB/f.u.
data_Mo2Ir2Rh5
_cell_length_a 8.631
_cell_length_b 3.882
_cell_length_c 8.229
_cell_angle_alpha 90.00
_cell_angle_beta 107.98
_cell_angle_gamma 90.00
_space_group_name_H-M_alt 'C 1 2/m 1'
_space_group_IT_number 12
_space_group_name_Hall '-C 2y'
loop_
_atom_site_label
_atom_site_type_symbol
_atom_site_fract_x
_atom_site_fract_y
_atom_site_fract_z
Mo1 Mo 0.158 0.000 0.378
Ir1 Ir 0.169 0.000 0.060
Rh1 Rh 0.000 0.500 0.500
Rh2 Rh 0.001 0.500 0.834
Rh3 Rh 0.170 0.000 0.713

---

No. 8
# La2ZrPb2 PBE optimized geometry
# - Formation energy: -386.1 meV per atom
# - Magnetic moment: 0.00 μB/f.u.
data_La2ZrPb2
_cell_length_a 8.141
_cell_length_b 8.141
_cell_length_c 4.703
_cell_angle_alpha 90.00
_cell_angle_beta 90.00
_cell_angle_gamma 90.00
_space_group_name_H-M_alt 'P 4/m b m'
_space_group_IT_number 127
_space_group_name_Hall '-P 4 2ab'
loop_
_atom_site_label
_atom_site_type_symbol
_atom_site_fract_x
_atom_site_fract_y
_atom_site_fract_z
La1 La 0.166 0.334 0.000
Zr1 Zr 0.000 0.000 0.500
Pb1 Pb 0.143 0.643 0.500

---

No. 9
# LaCd2PtAu2 PBE optimized geometry
# - Formation energy: -387.9 meV per atom
# - Magnetic moment: 0.00 μB/f.u.
data_LaCd2PtAu2
_cell_length_a 4.143
_cell_length_b 4.143
_cell_length_c 18.401
_cell_angle_alpha 90.00
_cell_angle_beta 90.00
_cell_angle_gamma 90.00
_space_group_name_H-M_alt 'I 4/m m m'
_space_group_IT_number 139
_space_group_name_Hall '-I 4 2'
loop_
_atom_site_label
_atom_site_type_symbol
_atom_site_fract_x
_atom_site_fract_y
_atom_site_fract_z
La1 La 0.000 0.000 0.000
Cd1 Cd 0.000 0.500 0.250
Pt1 Pt 0.000 0.000 0.500
Au1 Au 0.000 0.000 0.358

---

No. 10
# CsAcHg14 PBE optimized geometry
# - Formation energy: -128.6 meV per atom
# - Magnetic moment: 0.00 μB/f.u.
data_CsAcHg14
_cell_length_a 10.875
_cell_length_b 11.051
_cell_length_c 16.669
_cell_angle_alpha 90.00
_cell_angle_beta 90.00
_cell_angle_gamma 90.00
_space_group_name_H-M_alt 'I m m a'
_space_group_IT_number 74
_space_group_name_Hall '-I 2b 2'
loop_
_atom_site_label
_atom_site_type_symbol
_atom_site_fract_x
_atom_site_fract_y
_atom_site_fract_z
Cs1 Cs 0.000 0.250 0.105
Ac1 Ac 0.250 0.250 0.750
Hg1 Hg 0.000 0.106 0.848
Hg2 Hg 0.000 0.110 0.660
Hg3 Hg 0.000 0.123 0.469
Hg4 Hg 0.179 0.111 0.325
Hg5 Hg 0.239 0.105 0.941

---

No. 11
# Ce2MgAu PBE optimized geometry
# - Formation energy: -172.4 meV per atom
# - Magnetic moment: 2.29 μB/f.u.
data_Ce2MgAu
_cell_length_a 7.497
_cell_length_b 7.497
_cell_length_c 7.497
_cell_angle_alpha 90.00
_cell_angle_beta 90.00
_cell_angle_gamma 90.00
_space_group_name_H-M_alt 'F m -3 m'
_space_group_IT_number 225
_space_group_name_Hall '-F 4 2 3'
loop_
_atom_site_label
_atom_site_type_symbol
_atom_site_fract_x
_atom_site_fract_y
_atom_site_fract_z
Ce1 Ce 0.250 0.250 0.250
Mg1 Mg 0.000 0.000 0.000
Au1 Au 0.000 0.000 0.500

---

No. 12
# Ba2NaLiAs PBE optimized geometry
# - Formation energy: -463.5 meV per atom
# - Magnetic moment: 0.00 μB/f.u.
data_Ba2NaLiAs
_cell_length_a 6.546
_cell_length_b 6.546
_cell_length_c 5.000
_cell_angle_alpha 90.00
_cell_angle_beta 90.00
_cell_angle_gamma 90.00
_space_group_name_H-M_alt 'P 4/m m m'
_space_group_IT_number 123
_space_group_name_Hall '-P 4 2'
loop_
_atom_site_label
_atom_site_type_symbol
_atom_site_fract_x
_atom_site_fract_y
_atom_site_fract_z
Ba1 Ba 0.000 0.500 0.000
Na1 Na 0.000 0.000 0.500
Li1 Li 0.500 0.500 0.500
As1 As 0.500 0.500 0.000

---

No. 13
# Fe2CoSi PBE optimized geometry
# - E_tot: -7.5587 eV/atom
# - Magnetic moment: 5.27 μB/f.u.
data_Fe2CoSi
_cell_length_a 2.565
_cell_length_b 3.572
_cell_length_c 4.877
_cell_angle_alpha 90.00
_cell_angle_beta 91.10
_cell_angle_gamma 90.00
_space_group_name_H-M_alt 'P 1 2/m 1'
_space_group_IT_number 10
_space_group_name_Hall '-P 2y'
loop_
_atom_site_label
_atom_site_type_symbol
_atom_site_fract_x
_atom_site_fract_y
_atom_site_fract_z
Fe1 Fe 0.004 0.000 0.252
Co1 Co 0.500 0.500 0.000
Si1 Si 0.500 0.500 0.500

---

No. 14
# SmTlPtRh PBE optimized geometry
# - Formation energy: -528.3 meV per atom
# - Magnetic moment: 0.00 μB/f.u.
data_SmTlPtRh
_cell_length_a 6.866
_cell_length_b 6.866
_cell_length_c 6.866
_cell_angle_alpha 90.00
_cell_angle_beta 90.00
_cell_angle_gamma 90.00
_space_group_name_H-M_alt 'F -4 3 m'
_space_group_IT_number 216
_space_group_name_Hall 'F -4 2 3'
loop_
_atom_site_label
_atom_site_type_symbol
_atom_site_fract_x
_atom_site_fract_y
_atom_site_fract_z
Sm1 Sm 0.000 0.000 0.000
Tl1 Tl 0.000 0.000 0.500
Pt1 Pt 0.250 0.250 0.750
Rh1 Rh 0.250 0.250 0.250

---

No. 15
# CaTl6Pb12 PBE optimized geometry
# - Formation energy: 5.3 meV per atom
# - Magnetic moment: 0.00 μB/f.u.
data_CaTl6Pb12
_cell_length_a 11.9414
_cell_length_b 11.9414
_cell_length_c 14.6012
_cell_angle_alpha 90.00
_cell_angle_beta 90.00
_cell_angle_gamma 120.00
_space_group_name_H-M_alt 'R -3'
_space_group_IT_number 148
_space_group_name_Hall '-R 3'
loop_
_atom_site_label
_atom_site_type_symbol
_atom_site_fract_x
_atom_site_fract_y
_atom_site_fract_z
Ca1 Ca 0.0000 0.0000 0.0000
Tl1 Tl 0.0267 0.4349 0.7057
Pb1 Pb 0.0308 0.1830 0.8113
Pb2 Pb 0.0645 0.8639 0.4078

---

No. 16
# SmNb4S8 PBE optimized geometry
# - E_tot: -7.2351 eV/atom
# - Magnetic moment: 0.00 μB/f.u.
data_SmNb4S8
_cell_length_a 11.861
_cell_length_b 6.950
_cell_length_c 8.787
_cell_angle_alpha 90.00
_cell_angle_beta 129.12
_cell_angle_gamma 90.00
_space_group_name_H-M_alt 'C 1 2/m 1'
_space_group_IT_number 12
_space_group_name_Hall '-C 2y'
loop_
_atom_site_label
_atom_site_type_symbol
_atom_site_fract_x
_atom_site_fract_y
_atom_site_fract_z
Sm1 Sm 0.000 0.000 0.000
Nb1 Nb 0.000 0.294 0.500
Nb2 Nb 0.224 0.500 0.493
S1 S 0.004 0.000 0.687
S2 S 0.041 0.500 0.759
S3 S 0.227 0.253 0.273

---

No. 17
# Tl2POs PBE optimized geometry
# - Formation energy: 240.8 meV per atom
# - Magnetic moment: 0.00 μB/f.u.
data_Tl2POs
_cell_length_a 3.2618
_cell_length_b 3.2618
_cell_length_c 28.9294
_cell_angle_alpha 90.00
_cell_angle_beta 90.00
_cell_angle_gamma 120.00
_space_group_name_H-M_alt 'R 3 m'
_space_group_IT_number 160
_space_group_name_Hall 'R 3 -2"'
loop_
_atom_site_label
_atom_site_type_symbol
_atom_site_fract_x
_atom_site_fract_y
_atom_site_fract_z
Tl1 Tl 0.0000 0.0000 0.0000
Tl2 Tl 0.0000 0.0000 0.2278
P1 P 0.0000 0.0000 0.4630
Os1 Os 0.0000 0.0000 0.7496

---

No. 18
# TmPuSc2S4 PBE optimized geometry
# - E_tot: -7.8698 eV/atom
# - Magnetic moment: 5.77 μB/f.u.
data_TmPuSc2S4
_cell_length_a 6.571
_cell_length_b 3.782
_cell_length_c 6.581
_cell_angle_alpha 90.00
_cell_angle_beta 109.18
_cell_angle_gamma 90.00
_space_group_name_H-M_alt 'P 1 2/m 1'
_space_group_IT_number 10
_space_group_name_Hall '-P 2y'
loop_
_atom_site_label
_atom_site_type_symbol
_atom_site_fract_x
_atom_site_fract_y
_atom_site_fract_z
Tm1 Tm 0.000 0.000 0.000
Pu1 Pu 0.000 0.500 0.500
Sc1 Sc 0.500 0.000 0.500
Sc2 Sc 0.500 0.500 0.000
S1 S 0.263 0.500 0.250
S2 S 0.266 0.000 0.759

---

No. 19
# CuNiH3 PBE optimized geometry
# - E_tot: -3.8897 eV/atom
# - Magnetic moment: 0.00 μB/f.u.
data_CuNiH3
_cell_length_a 4.3244
_cell_length_b 4.3244
_cell_length_c 12.3258
_cell_angle_alpha 90.00
_cell_angle_beta 90.00
_cell_angle_gamma 120.00
_space_group_name_H-M_alt 'R 3 2'
_space_group_IT_number 155
_space_group_name_Hall 'R 3 2"'
loop_
_atom_site_label
_atom_site_type_symbol
_atom_site_fract_x
_atom_site_fract_y
_atom_site_fract_z
Cu1 Cu 0.0000 0.0000 0.1045
Ni1 Ni 0.0000 0.0000 0.3215
H1 H 0.0183 0.4398 0.0854

---

No. 20
# In2Co2Mo PBE optimized geometry
# - Formation energy: 268.2 meV per atom
# - Magnetic moment: 0.00 μB/f.u.
data_In2Co2Mo
_cell_length_a 6.301
_cell_length_b 6.301
_cell_length_c 4.037
_cell_angle_alpha 90.00
_cell_angle_beta 90.00
_cell_angle_gamma 90.00
_space_group_name_H-M_alt 'P 4/m b m'
_space_group_IT_number 127
_space_group_name_Hall '-P 4 2ab'
loop_
_atom_site_label
_atom_site_type_symbol
_atom_site_fract_x
_atom_site_fract_y
_atom_site_fract_z
In1 In 0.174 0.326 0.000
Co1 Co 0.131 0.631 0.500
Mo1 Mo 0.000 0.000 0.500

---

No. 21
# Tb7Er2Mg2 PBE optimized geometry
# - Formation energy: 162.8 meV per atom
# - Magnetic moment: 0.00 μB/f.u.
data_Tb7Er2Mg2
_cell_length_a 11.848
_cell_length_b 10.998
_cell_length_c 5.682
_cell_angle_alpha 90.00
_cell_angle_beta 112.20
_cell_angle_gamma 90.00
_space_group_name_H-M_alt 'C 1 2/m 1'
_space_group_IT_number 12
_space_group_name_Hall '-C 2y'
loop_
_atom_site_label
_atom_site_type_symbol
_atom_site_fract_x
_atom_site_fract_y
_atom_site_fract_z
Tb1 Tb 0.000 0.000 0.000
Tb2 Tb 0.192 0.206 0.185
Tb3 Tb 0.224 0.000 0.672
Er1 Er 0.000 0.220 0.500
Mg1 Mg 0.056 0.500 0.784

---

No. 22
# CsKVCl6 PBE optimized geometry
# - E_tot: -3.9715 eV/atom
# - Magnetic moment: 1.00 μB/f.u.
data_CsKVCl6
_cell_length_a 7.4575
_cell_length_b 7.4575
_cell_length_c 6.9556
_cell_angle_alpha 90.00
_cell_angle_beta 90.00
_cell_angle_gamma 120.00
_space_group_name_H-M_alt 'P 3 1 2'
_space_group_IT_number 149
_space_group_name_Hall 'P 3 2'
loop_
_atom_site_label
_atom_site_type_symbol
_atom_site_fract_x
_atom_site_fract_y
_atom_site_fract_z
Cs1 Cs 0.0000 0.0000 0.0000
K1 K 0.3333 0.6667 0.5000
V1 V 0.6667 0.3333 0.5000
Cl1 Cl 0.4132 0.0779 0.6953